Record 1
VASP calculation (PBEsol) on a relaxed CsAg3Ru crystal.

Unit cell a=5.4846 b=5.4846 c=5.4846 alpha=90.00 beta=90.00 gamma=90.00
Positions (direct):
Cs 0.0000 0.0000 0.0000
Ag 0.0000 0.0000 0.5000
Ag 0.0000 0.5000 0.0000
Ag 0.5000 0.0000 0.0000
Ru 0.5000 0.5000 0.5000

Calculated volume = 33.00 Å³ per atom
Total magnetic moment = 2.1 μB per cell
Energy relative to the elements = 2.492 eV per atom
Fermi-level density of states = 2.18 states/eV/atom

Record 2
VASP calculation (PBEsol) on a relaxed Cs2AgS2 crystal.

Unit cell a=7.2853 b=7.2853 c=7.2853 alpha=125.14 beta=125.14 gamma=81.30
Positions (direct):
Cs 0.2500 0.7500 0.5000
Cs 0.7500 0.2500 0.5000
Ag 0.0000 0.0000 0.0000
S 0.2039 0.2039 0.0000
S 0.7961 0.7961 0.0000

ΔE_f (raw) = -0.5604 eV per atom
Calculated volume = 49.80 Å³ per atom
Total magnetic moment = 0.9 μB per cell
Fermi-level density of states = 0.91 states/eV/atom

Record 3
VASP calculation (PBEsol) on a relaxed CsTiAg2S crystal.

Unit cell a=5.4093 b=5.4093 c=5.4849 alpha=90.00 beta=90.00 gamma=90.00
Positions (direct):
Cs 0.0000 0.0000 0.0000
Ti 0.0000 0.0000 0.5000
Ag 0.0000 0.5000 0.0000
Ag 0.5000 0.0000 0.0000
S 0.5000 0.5000 0.5000

ΔE_f (raw) = 1.9549 eV per atom
Calculated volume = 32.10 Å³ per atom
Total magnetic moment = 3.1 μB per cell
Fermi-level density of states = 1.15 states/eV/atom

Record 4
VASP calculation (PBEsol) on a relaxed CsUAgS3 crystal.

Unit cell a=7.8245 b=7.8245 c=10.2760 alpha=90.00 beta=90.00 gamma=150.17
Positions (direct):
Cs 0.2402 0.7598 0.7500
Cs 0.7598 0.2402 0.2500
U 0.5000 0.5000 0.0000
U 0.5000 0.5000 0.5000
Ag 0.0444 0.9556 0.2500
Ag 0.9556 0.0444 0.7500
S 0.1162 0.8838 0.0371
S 0.1162 0.8838 0.4629
S 0.4448 0.5552 0.2500
S 0.5552 0.4448 0.7500
S 0.8838 0.1162 0.5371
S 0.8838 0.1162 0.9629

ΔE_f (raw) = -1.1102 eV per atom
Calculated volume = 26.08 Å³ per atom
Total magnetic moment = 4.0 μB per cell
Fermi-level density of states = 1.32 states/eV/atom

Record 5
VASP calculation (PBEsol) on a relaxed CsAgSb2 crystal.

Unit cell a=5.4357 b=5.4357 c=5.4357 alpha=60.00 beta=60.00 gamma=60.00
Positions (direct):
Cs 0.0000 0.0000 0.0000
Ag 0.5000 0.5000 0.5000
Sb 0.2500 0.2500 0.2500
Sb 0.7500 0.7500 0.7500

ΔE_f (raw) = 0.3448 eV per atom
Calculated volume = 28.39 Å³ per atom
Total magnetic moment = 0.0 μB per cell
Fermi-level density of states = 0.50 states/eV/atom

Record 6
VASP calculation (PBEsol) on a relaxed Cs2ZrAgSb crystal.

Unit cell a=6.3586 b=6.3586 c=5.1737 alpha=90.00 beta=90.00 gamma=90.00
Positions (direct):
Cs 0.0000 0.5000 0.0000
Cs 0.5000 0.0000 0.0000
Zr 0.0000 0.0000 0.5000
Ag 0.5000 0.5000 0.0000
Sb 0.5000 0.5000 0.5000

ΔE_f (raw) = 0.8847 eV per atom
Calculated volume = 41.84 Å³ per atom
Total magnetic moment = 3.4 μB per cell
Fermi-level density of states = 1.83 states/eV/atom